# 1
The following is a DFT calculation (PBE-GGA) of a relaxed Ac2LaZn4 crystal.

Unit cell a=7.7567 b=7.7567 c=7.7567 alpha=137.99 beta=137.99 gamma=60.92
Closest atoms and distances in Å follow each position.
Fractional coordinates of all 7 atoms:
Ac1 0.2149 0.2149 0.0000  4 Zn 3.17
Ac2 0.7851 0.7851 0.0000  4 Zn 3.17
La1 0.5000 0.5000 0.0000  8 Zn 3.09
Zn1 0.1016 0.6016 0.5000  1 Zn 2.72
Zn2 0.3984 0.8984 0.5000  1 Zn 2.72
Zn3 0.6016 0.1016 0.5000  1 Zn 2.72
Zn4 0.8984 0.3984 0.5000  1 Zn 2.72

Density of states at the Fermi level = 0.76 states/eV per atom
Volume = 207 Å³ per cell
Total magnetic moment = 0.00 μB per formula unit

=====

# 2
The following is a DFT calculation (PBE-GGA) of a relaxed AcLa3Zn8 crystal.

Unit cell a=5.8223 b=5.8223 c=8.9044 alpha=90.00 beta=90.00 gamma=120.00
Closest atoms and distances in Å follow each position.
Fractional coordinates of all 12 atoms:
Ac1 0.0000 0.0000 0.0000  12 Zn 3.24-3.41, 4 La 3.51-3.58
La1 0.0000 0.0000 0.4023  12 Zn 3.15-3.43, 3 La 3.48
La2 0.6667 0.3333 0.5017  12 Zn 3.19-3.40, 4 La 3.42-3.48
La3 0.6667 0.3333 0.8860  12 Zn 3.26-3.41, 1 La 3.42, 3 Ac 3.51
Zn1 0.0032 0.5016 0.1989  6 Zn 2.73-2.94
Zn2 0.1748 0.3496 0.6953  6 Zn 2.76-3.05
Zn3 0.1748 0.8252 0.6953  6 Zn 2.76-3.05
Zn4 0.3333 0.6667 0.4424  6 Zn 2.73-2.76
Zn5 0.3333 0.6667 0.9490  6 Zn 2.77-2.78
Zn6 0.4984 0.5016 0.1989  6 Zn 2.73-2.94
Zn7 0.4984 0.9968 0.1989  6 Zn 2.73-2.94
Zn8 0.6504 0.8252 0.6953  6 Zn 2.76-3.05

Density of states at the Fermi level = 0.52 states/eV per atom
Volume = 261 Å³ per cell
Total magnetic moment = 0.00 μB per formula unit

=====

# 3
The following is a DFT calculation (PBE-GGA) of a relaxed AcLa7Zn2 crystal.

Unit cell a=13.2176 b=13.2176 c=13.2176 alpha=157.07 beta=157.07 gamma=32.65
Closest atoms and distances in Å follow each position.
Fractional coordinates of all 10 atoms:
Ac1 0.0000 0.0000 0.0000  12 La 3.72-3.79
La1 0.1076 0.6076 0.5000  2 Zn 3.18
La2 0.2500 0.7500 0.5000  4 Zn 3.20
La3 0.3924 0.8924 0.5000  2 Zn 3.18
La4 0.5000 0.5000 0.0000  4 Ac 3.72, 8 La 3.79
La5 0.6076 0.1076 0.5000  2 Zn 3.18
La6 0.7500 0.2500 0.5000  4 Zn 3.20
La7 0.8924 0.3924 0.5000  2 Zn 3.18
Zn1 0.3217 0.3217 0.0000  8 La 3.18-3.20
Zn2 0.6783 0.6783 0.0000  8 La 3.18-3.20

Density of states at the Fermi level = 2.06 states/eV per atom
Volume = 350 Å³ per cell
Total magnetic moment = 0.74 μB per formula unit

=====

# 4
The following is a DFT calculation (PBE-GGA) of a relaxed AcLa3Zn crystal.

Unit cell a=6.8420 b=6.8420 c=13.5185 alpha=91.61 beta=91.61 gamma=33.04
Closest atoms and distances in Å follow each position.
Fractional coordinates of all 10 atoms:
Ac1 0.2128 0.2128 0.2720  2 Zn 3.33, 1 La 3.65
Ac2 0.7872 0.7872 0.7280  2 Zn 3.33, 1 La 3.65
La1 0.0535 0.0535 0.8131  2 Zn 3.22
La2 0.1297 0.1297 0.5357  4 Zn 3.22-3.30, 1 La 3.51
La3 0.3655 0.3655 0.9615  9 La 3.65-3.89, 2 Ac 3.82
La4 0.6345 0.6345 0.0385  9 La 3.65-3.89, 2 Ac 3.82
La5 0.8703 0.8703 0.4643  4 Zn 3.22-3.30, 1 La 3.51
La6 0.9465 0.9465 0.1869  2 Zn 3.22
Zn1 0.4690 0.4690 0.6393  6 La 3.22-3.30, 2 Ac 3.33
Zn2 0.5310 0.5310 0.3607  6 La 3.22-3.30, 2 Ac 3.33

Density of states at the Fermi level = 1.28 states/eV per atom
Volume = 345 Å³ per cell
Total magnetic moment = 0.00 μB per formula unit

=====

Number 1: total energy -2.72 eV per atom, E_form -0.12 eV per atom. Number 2: total energy -2.72 eV per atom, E_form -0.29 eV per atom. Number 3: total energy -4.11 eV per atom, E_form 0.01 eV per atom. Number 4: total energy -4.14 eV per atom, E_form -0.11 eV per atom.